First-principles (PBE-GGA) data for a relaxed structure of Tl2NiP, as listed in the Alexandria database.

Cell and atoms, written as extended XYZ:
```
4
Lattice="-1.4634 2.4269 1.5117 -2.3044 -2.2341 -0.1231 2.4643 -2.9326 7.0938" Properties=species:S:1:pos:R:3 pbc="T T T"
Tl 0.6743 -0.8025 1.9411
Tl 1.7900 -2.1302 5.1526
Ni -0.6517 -1.3699 4.2412
P -1.8839 0.0964 0.6943
```

Computed properties:
density: 10.19 g/cm³
formation enthalpy at 0 K: 0.549 eV per atom
SG: Cmmm (65)